# Ta5Ti12V3 (PBE, relaxed)
data_Ta5Ti12V3
_cell_length_a 14.937
_cell_length_b 14.937
_cell_length_c 14.937
_cell_angle_alpha 90.00
_cell_angle_beta 90.00
_cell_angle_gamma 90.00
_symmetry_space_group_name_H-M 'I a -3 d'
_symmetry_Int_Tables_number 230
_symmetry_space_group_name_Hall '-I 4bd 2c 3'
loop_
_atom_site_label
_atom_site_type_symbol
_atom_site_fract_x
_atom_site_fract_y
_atom_site_fract_z
Ta1 Ta 0.000 0.000 0.000
Ta2 Ta 0.000 0.250 0.375
Ti1 Ti 0.017 0.091 0.645
V1 V 0.000 0.250 0.125
# Energy relative to the elements = 28.13 eV per formula unit
# Density of states at the Fermi level = 1.67 states/eV/atom

***

# TaTi2V (PBE, relaxed)
data_TaTi2V
_cell_length_a 3.168
_cell_length_b 3.168
_cell_length_c 6.519
_cell_angle_alpha 90.00
_cell_angle_beta 90.00
_cell_angle_gamma 90.00
_symmetry_space_group_name_H-M 'P 4/m m m'
_symmetry_Int_Tables_number 123
_symmetry_space_group_name_Hall '-P 4 2'
loop_
_atom_site_label
_atom_site_type_symbol
_atom_site_fract_x
_atom_site_fract_y
_atom_site_fract_z
Ta1 Ta 0.000 0.000 0.000
Ti1 Ti 0.500 0.500 0.272
V1 V 0.000 0.000 0.500
# Energy above the most stable polymorph in this dataset = 0 meV per atom
# Energy relative to the elements = 0.44 eV per formula unit
# Density of states at the Fermi level = 1.92 states/eV/atom

***

# Ta2TiV (PBE, relaxed)
data_Ta2TiV
_cell_length_a 9.340
_cell_length_b 2.746
_cell_length_c 5.426
_cell_angle_alpha 90.00
_cell_angle_beta 90.30
_cell_angle_gamma 90.00
_symmetry_space_group_name_H-M 'C 1 2/m 1'
_symmetry_Int_Tables_number 12
loop_
_symmetry_equiv_pos_as_xyz
'x,y,z'
'-x,-y,-z'
'-x,y,-z'
'x,-y,z'
'x+1/2,y+1/2,z'
'-x+1/2,-y+1/2,-z'
'-x+1/2,y+1/2,-z'
'x+1/2,-y+1/2,z'
loop_
_atom_site_label
_atom_site_type_symbol
_atom_site_fract_x
_atom_site_fract_y
_atom_site_fract_z
Ta1 Ta 0.235 0.000 0.247
Ti1 Ti 0.000 0.500 0.500
V1 V 0.000 0.500 0.000
# Energy above the most stable polymorph in this dataset = 205 meV per atom
# Energy relative to the elements = 1.05 eV per formula unit
# Density of states at the Fermi level = 1.38 states/eV/atom

***

# Ta2TiV (PBE, relaxed)
data_Ta2TiV
_cell_length_a 7.153
_cell_length_b 7.153
_cell_length_c 5.506
_cell_angle_alpha 90.00
_cell_angle_beta 90.00
_cell_angle_gamma 90.00
_symmetry_space_group_name_H-M 'I -4 2 d'
_symmetry_Int_Tables_number 122
_symmetry_space_group_name_Hall 'I -4 2bw'
loop_
_atom_site_label
_atom_site_type_symbol
_atom_site_fract_x
_atom_site_fract_y
_atom_site_fract_z
Ta1 Ta 0.237 0.750 0.125
Ti1 Ti 0.000 0.000 0.500
V1 V 0.000 0.000 0.000
# Energy above the most stable polymorph in this dataset = 555 meV per atom
# Energy relative to the elements = 2.45 eV per formula unit
# Density of states at the Fermi level = 1.37 states/eV/atom

***

# TaTiV (PBE, relaxed)
data_TaTiV
_cell_length_a 4.4924
_cell_length_b 4.4924
_cell_length_c 2.8068
_cell_angle_alpha 90.00
_cell_angle_beta 90.00
_cell_angle_gamma 120.00
_symmetry_space_group_name_H-M 'P 3 m 1'
_symmetry_Int_Tables_number 156
loop_
_symmetry_equiv_pos_as_xyz
'x,y,z'
'-y,x-y,z'
'-x+y,-x,z'
'-y,-x,z'
'-x+y,y,z'
'x,x-y,z'
loop_
_atom_site_label
_atom_site_type_symbol
_atom_site_fract_x
_atom_site_fract_y
_atom_site_fract_z
Ta1 Ta 0.0000 0.0000 0.0000
Ti1 Ti 0.3333 0.6667 0.3969
V1 V 0.6667 0.3333 0.7355
# Energy above the most stable polymorph in this dataset = 0 meV per atom
# Energy relative to the elements = 0.24 eV per formula unit
# Density of states at the Fermi level = 1.92 states/eV/atom

***

# Ta2TiV (PBE, relaxed)
data_Ta2TiV
_cell_length_a 2.8721
_cell_length_b 2.8721
_cell_length_c 29.8448
_cell_angle_alpha 90.00
_cell_angle_beta 90.00
_cell_angle_gamma 120.00
_symmetry_space_group_name_H-M 'R -3 m'
_symmetry_Int_Tables_number 166
_symmetry_space_group_name_Hall '-R 3 2"'
loop_
_atom_site_label
_atom_site_type_symbol
_atom_site_fract_x
_atom_site_fract_y
_atom_site_fract_z
Ta1 Ta 0.0000 0.0000 0.0852
Ti1 Ti 0.0000 0.0000 0.5000
V1 V 0.0000 0.0000 0.0000
# Energy above the most stable polymorph in this dataset = 397 meV per atom
# Energy relative to the elements = 1.82 eV per formula unit
# Density of states at the Fermi level = 1.47 states/eV/atom

***

# TaTi2V (PBE, relaxed)
data_TaTi2V
_cell_length_a 3.255
_cell_length_b 10.011
_cell_length_c 8.235
_cell_angle_alpha 90.00
_cell_angle_beta 90.00
_cell_angle_gamma 90.00
_symmetry_space_group_name_H-M 'C m c m'
_symmetry_Int_Tables_number 63
_symmetry_space_group_name_Hall '-C 2c 2'
loop_
_atom_site_label
_atom_site_type_symbol
_atom_site_fract_x
_atom_site_fract_y
_atom_site_fract_z
Ta1 Ta 0.000 0.033 0.250
Ti1 Ti 0.000 0.364 0.049
V1 V 0.000 0.257 0.750
# Energy above the most stable polymorph in this dataset = 64 meV per atom
# Energy relative to the elements = 0.69 eV per formula unit
# Density of states at the Fermi level = 1.28 states/eV/atom

***

# Ta2TiV (PBE, relaxed)
data_Ta2TiV
_cell_length_a 4.562
_cell_length_b 4.562
_cell_length_c 3.206
_cell_angle_alpha 90.00
_cell_angle_beta 90.00
_cell_angle_gamma 90.00
_symmetry_space_group_name_H-M 'P 4/m m m'
_symmetry_Int_Tables_number 123
_symmetry_space_group_name_Hall '-P 4 2'
loop_
_atom_site_label
_atom_site_type_symbol
_atom_site_fract_x
_atom_site_fract_y
_atom_site_fract_z
Ta1 Ta 0.000 0.500 0.000
Ti1 Ti 0.000 0.000 0.500
V1 V 0.500 0.500 0.500
# Energy above the most stable polymorph in this dataset = 21 meV per atom
# Energy relative to the elements = 0.32 eV per formula unit
# Density of states at the Fermi level = 1.88 states/eV/atom

***

# TaTi2V2 (PBE, relaxed)
data_TaTi2V2
_cell_length_a 2.630
_cell_length_b 4.650
_cell_length_c 13.096
_cell_angle_alpha 90.00
_cell_angle_beta 90.00
_cell_angle_gamma 90.00
_symmetry_space_group_name_H-M 'I m m m'
_symmetry_Int_Tables_number 71
_symmetry_space_group_name_Hall '-I 2 2'
loop_
_atom_site_label
_atom_site_type_symbol
_atom_site_fract_x
_atom_site_fract_y
_atom_site_fract_z
Ta1 Ta 0.000 0.000 0.000
Ti1 Ti 0.000 0.000 0.394
V1 V 0.000 0.500 0.297
# Energy above the most stable polymorph in this dataset = 0 meV per atom
# Energy relative to the elements = 0.80 eV per formula unit
# Density of states at the Fermi level = 1.31 states/eV/atom

***

# TaTiV (PBE, relaxed)
data_TaTiV
_cell_length_a 3.785
_cell_length_b 3.785
_cell_length_c 7.110
_cell_angle_alpha 90.00
_cell_angle_beta 90.00
_cell_angle_gamma 90.00
_symmetry_space_group_name_H-M 'P 4/n m m'
_symmetry_Int_Tables_number 129
loop_
_symmetry_equiv_pos_as_xyz
'x,y,z'
'-x,-y,-z'
'-y+1/2,x,z'
'y+1/2,-x,-z'
'-x+1/2,-y+1/2,z'
'x+1/2,y+1/2,-z'
'y,-x+1/2,z'
'-y,x+1/2,-z'
'x+1/2,-y,-z'
'-x+1/2,y,z'
'-y,-x,-z'
'y,x,z'
'-x,y+1/2,-z'
'x,-y+1/2,z'
'y+1/2,x+1/2,-z'
'-y+1/2,-x+1/2,z'
loop_
_atom_site_label
_atom_site_type_symbol
_atom_site_fract_x
_atom_site_fract_y
_atom_site_fract_z
Ta1 Ta 0.250 0.250 0.205
Ti1 Ti 0.250 0.250 0.804
V1 V 0.250 0.750 0.500
# Energy above the most stable polymorph in this dataset = 332 meV per atom
# Energy relative to the elements = 1.24 eV per formula unit
# Density of states at the Fermi level = 1.44 states/eV/atom

***

# TaTiV3 (PBE, relaxed)
data_TaTiV3
_cell_length_a 5.272
_cell_length_b 12.492
_cell_length_c 4.920
_cell_angle_alpha 90.00
_cell_angle_beta 90.00
_cell_angle_gamma 90.00
_symmetry_space_group_name_H-M 'C m c m'
_symmetry_Int_Tables_number 63
_symmetry_space_group_name_Hall '-C 2c 2'
loop_
_atom_site_label
_atom_site_type_symbol
_atom_site_fract_x
_atom_site_fract_y
_atom_site_fract_z
Ta1 Ta 0.000 0.190 0.250
Ti1 Ti 0.000 0.428 0.750
V1 V 0.000 0.000 0.000
V2 V 0.245 0.362 0.250
# Energy above the most stable polymorph in this dataset = 0 meV per atom
# Energy relative to the elements = 1.51 eV per formula unit
# Density of states at the Fermi level = 1.04 states/eV/atom

***

# Ta3TiV8 (PBE, relaxed)
data_Ta3TiV8
_cell_length_a 5.0683
_cell_length_b 5.0683
_cell_length_c 8.1199
_cell_angle_alpha 90.00
_cell_angle_beta 90.00
_cell_angle_gamma 120.00
_symmetry_space_group_name_H-M 'P 3 m 1'
_symmetry_Int_Tables_number 156
loop_
_symmetry_equiv_pos_as_xyz
'x,y,z'
'-y,x-y,z'
'-x+y,-x,z'
'-y,-x,z'
'-x+y,y,z'
'x,x-y,z'
loop_
_atom_site_label
_atom_site_type_symbol
_atom_site_fract_x
_atom_site_fract_y
_atom_site_fract_z
Ta1 Ta 0.0000 0.0000 0.0000
Ta2 Ta 0.0000 0.0000 0.3745
Ta3 Ta 0.3333 0.6667 0.8743
Ti1 Ti 0.3333 0.6667 0.4998
V1 V 0.0073 0.5037 0.1877
V2 V 0.3256 0.1628 0.6868
V3 V 0.6667 0.3333 0.4377
V4 V 0.6667 0.3333 0.9370
# Energy relative to the elements = -0.89 eV per formula unit
# Density of states at the Fermi level = 1.35 states/eV/atom